# Co2Ir6Os PBE relaxed
data_Co2Ir6Os
_cell_length_a 9.3166
_cell_length_b 11.2321
_cell_length_c 4.9328
_cell_angle_alpha 90.00
_cell_angle_beta 100.21
_cell_angle_gamma 90.00
_space_group_name_H-M_alt 'C 1 2/c 1'
_space_group_IT_number 15
loop_
_space_group_symop_operation_xyz
'x,y,z'
'-x,-y,-z'
'-x,y,-z+1/2'
'x,-y,z+1/2'
'x+1/2,y+1/2,z'
'-x+1/2,-y+1/2,-z'
'-x+1/2,y+1/2,-z+1/2'
'x+1/2,-y+1/2,z+1/2'
loop_
_atom_site_label
_atom_site_type_symbol
_atom_site_fract_x
_atom_site_fract_y
_atom_site_fract_z
Co1 Co 0.1243 0.0144 0.3664
Ir1 Ir 0.0520 0.1921 0.0204
Ir2 Ir 0.1494 0.3937 0.8101
Ir3 Ir 0.2361 0.1712 0.6813
Os1 Os 0.0000 0.4063 0.2500
# Raw total energy ... -305.39 eV/cell